# 1
{
  "formula": "Tb5ThSc",
  "functional": "PBE",
  "state": "relaxed",
  "cell": [[3.5000, -4.9948, 0.0000], [3.5000, 4.9948, 0.0000], [-1.7420, 0.0000, 6.5393]],
  "species": ["Tb", "Tb", "Tb", "Tb", "Tb", "Th", "Sc"],
  "fractional_positions": [[0.0000, 0.0000, 0.0000], [0.0359, 0.5873, 0.2693], [0.4127, 0.9641, 0.7307], [0.5873, 0.0359, 0.2693], [0.9641, 0.4127, 0.7307], [0.5000, 0.5000, 0.0000], [0.5000, 0.5000, 0.5000]],
  "sg": "C2/m",
  "dos_ef_per_ev_fu": 9.52,
  "e_form_mev_per_atom": 228,
  "vol_a3_per_fu": 228.64,
  "m_tot_mub_per_fu": 0.00
}

# 2
{
  "formula": "CsYC2",
  "functional": "PBE",
  "state": "relaxed",
  "cell": [[0.0000, 3.3727, 3.3727], [3.3727, 0.0000, 3.3727], [3.3727, 3.3727, 0.0000]],
  "species": ["Cs", "Y", "C", "C"],
  "fractional_positions": [[0.0000, 0.0000, 0.0000], [0.5000, 0.5000, 0.5000], [0.2500, 0.2500, 0.2500], [0.7500, 0.7500, 0.7500]],
  "sg": "Fm-3m",
  "dos_ef_per_ev_fu": 3.04,
  "e_form_mev_per_atom": 2072,
  "vol_a3_per_fu": 76.73,
  "m_tot_mub_per_fu": 0.00
}

# 3
{
  "formula": "Tb12Al5Tl3",
  "functional": "PBE",
  "state": "relaxed",
  "cell": [[-8.8208, 8.8208, 8.8208], [8.8208, -8.8208, 8.8208], [8.8208, 8.8208, -8.8208]],
  "species": ["Tb", "Tb", "Tb", "Tb", "Tb", "Tb", "Tb", "Tb", "Tb", "Tb", "Tb", "Tb", "Tb", "Tb", "Tb", "Tb", "Tb", "Tb", "Tb", "Tb", "Tb", "Tb", "Tb", "Tb", "Tb", "Tb", "Tb", "Tb", "Tb", "Tb", "Tb", "Tb", "Tb", "Tb", "Tb", "Tb", "Tb", "Tb", "Tb", "Tb", "Tb", "Tb", "Tb", "Tb", "Tb", "Tb", "Tb", "Tb", "Al", "Al", "Al", "Al", "Al", "Al", "Al", "Al", "Al", "Al", "Al", "Al", "Al", "Al", "Al", "Al", "Al", "Al", "Al", "Al", "Tl", "Tl", "Tl", "Tl", "Tl", "Tl", "Tl", "Tl", "Tl", "Tl", "Tl", "Tl"],
  "fractional_positions": [[0.0529, 0.2184, 0.1294], [0.0529, 0.3345, 0.9235], [0.0765, 0.6294, 0.4110], [0.0765, 0.9471, 0.6655], [0.0890, 0.7184, 0.6655], [0.0890, 0.8706, 0.4235], [0.1294, 0.0529, 0.2184], [0.1294, 0.5765, 0.9110], [0.1655, 0.2184, 0.5890], [0.1655, 0.4471, 0.5765], [0.2184, 0.1294, 0.0529], [0.2184, 0.5890, 0.1655], [0.2816, 0.3345, 0.9110], [0.2816, 0.4471, 0.3706], [0.3345, 0.9110, 0.2816], [0.3345, 0.9235, 0.0529], [0.3706, 0.2816, 0.4471], [0.3706, 0.5890, 0.9235], [0.4110, 0.0765, 0.6294], [0.4110, 0.8345, 0.7816], [0.4235, 0.0890, 0.8706], [0.4235, 0.8345, 0.5529], [0.4471, 0.3706, 0.2816], [0.4471, 0.5765, 0.1655], [0.5529, 0.4235, 0.8345], [0.5529, 0.6294, 0.7184], [0.5765, 0.1655, 0.4471], [0.5765, 0.9110, 0.1294], [0.5890, 0.1655, 0.2184], [0.5890, 0.9235, 0.3706], [0.6294, 0.4110, 0.0765], [0.6294, 0.7184, 0.5529], [0.6655, 0.0765, 0.9471], [0.6655, 0.0890, 0.7184], [0.7184, 0.5529, 0.6294], [0.7184, 0.6655, 0.0890], [0.7816, 0.4110, 0.8345], [0.7816, 0.8706, 0.9471], [0.8345, 0.5529, 0.4235], [0.8345, 0.7816, 0.4110], [0.8706, 0.4235, 0.0890], [0.8706, 0.9471, 0.7816], [0.9110, 0.1294, 0.5765], [0.9110, 0.2816, 0.3345], [0.9235, 0.0529, 0.3345], [0.9235, 0.3706, 0.5890], [0.9471, 0.6655, 0.0765], [0.9471, 0.7816, 0.8706], [0.0000, 0.0000, 0.0000], [0.0000, 0.0000, 0.5000], [0.0000, 0.5000, 0.0000], [0.0000, 0.5000, 0.5000], [0.1250, 0.7500, 0.8750], [0.1250, 0.8750, 0.2500], [0.2500, 0.1250, 0.8750], [0.2500, 0.6250, 0.3750], [0.3750, 0.2500, 0.6250], [0.3750, 0.6250, 0.7500], [0.5000, 0.0000, 0.0000], [0.5000, 0.0000, 0.5000], [0.5000, 0.5000, 0.0000], [0.5000, 0.5000, 0.5000], [0.6250, 0.3750, 0.2500], [0.6250, 0.7500, 0.3750], [0.7500, 0.3750, 0.6250], [0.7500, 0.8750, 0.1250], [0.8750, 0.1250, 0.7500], [0.8750, 0.2500, 0.1250], [0.1250, 0.2500, 0.3750], [0.1250, 0.3750, 0.7500], [0.2500, 0.3750, 0.1250], [0.2500, 0.8750, 0.6250], [0.3750, 0.1250, 0.2500], [0.3750, 0.7500, 0.1250], [0.6250, 0.2500, 0.8750], [0.6250, 0.8750, 0.7500], [0.7500, 0.1250, 0.3750], [0.7500, 0.6250, 0.8750], [0.8750, 0.6250, 0.2500], [0.8750, 0.7500, 0.6250]],
  "sg": "Ia-3d",
  "dos_ef_per_ev_fu": 34.00,
  "e_form_mev_per_atom": 294,
  "vol_a3_per_fu": 686.33,
  "m_tot_mub_per_fu": 0.00
}

# 4
{
  "formula": "TaZn2Co",
  "functional": "PBE",
  "state": "relaxed",
  "cell": [[1.3884, 0.8016, 8.8957], [-1.3884, 0.8016, 8.8957], [0.0000, -1.6031, 8.8957]],
  "species": ["Ta", "Zn", "Zn", "Co"],
  "fractional_positions": [[0.0000, 0.0000, 0.0000], [0.2423, 0.2423, 0.2423], [0.4873, 0.4873, 0.4873], [0.7453, 0.7453, 0.7453]],
  "sg": "R3m",
  "dos_ef_per_ev_fu": 2.22,
  "e_form_mev_per_atom": 108,
  "vol_a3_per_fu": 59.40,
  "m_tot_mub_per_fu": 0.79
}